No. 1
This record from Alexandria via LeMat-Bulk describes crystalline PmSmDyHg at its relaxed geometry. The functional is GGA-PBE.

The value obtained for the formation energy is -0.037 eV per atom. The calculation puts the excess energy over the best structure of this formula in the dataset at 192.5 meV/atom.

It has space group F-43m (No. 216), with a = 7.739 Å, b = 7.739 Å, c = 7.739 Å, α = 90.00°, β = 90.00° and γ = 90.00°. The distinct sites, in fractional coordinates, are Pm at (0.000, 0.000, 0.000), Sm at (0.250, 0.250, 0.750), Dy at (0.250, 0.250, 0.250) and Hg at (0.000, 0.000, 0.500).


No. 2
This record from Alexandria via LeMat-Bulk describes crystalline Li2Pt2Rh at its relaxed geometry. The functional is GGA-PBE.

The value obtained for the formation energy is -0.286 eV per atom. The calculation puts the excess energy over the best structure of this formula in the dataset at 0.0 meV/atom.

It has space group P4/mbm (No. 127), with a = 6.934 Å, b = 6.934 Å, c = 2.744 Å, α = 90.00°, β = 90.00° and γ = 90.00°. The distinct sites, in fractional coordinates, are Li at (0.110, 0.390, 0.000), Pt at (0.191, 0.691, 0.500) and Rh at (0.000, 0.000, 0.000).


No. 3
This record from Alexandria via LeMat-Bulk describes crystalline DyPa3P4 at its relaxed geometry. The functional is GGA-PBE.

The value obtained for the formation energy is -1.390 eV per atom.

It has space group Cmmm (No. 65), with a = 7.938 Å, b = 11.237 Å, c = 3.975 Å, α = 90.00°, β = 90.00° and γ = 90.00°. The distinct sites, in fractional coordinates, are Dy at (0.000, 0.000, 0.000), Pa at (0.000, 0.500, 0.000), Pa at (0.250, 0.250, 0.500), P at (0.000, 0.250, 0.000) and P at (0.249, 0.500, 0.500).


No. 4
This record from Alexandria via LeMat-Bulk describes crystalline LaSbI2F at its relaxed geometry. The functional is GGA-PBE.

The value obtained for the formation energy (no corrections) is -0.887 eV per atom.

It has space group P4/mmm (No. 123), with a = 5.723 Å, b = 5.723 Å, c = 4.424 Å, α = 90.00°, β = 90.00° and γ = 90.00°. The distinct sites, in fractional coordinates, are La at (0.000, 0.000, 0.000), Sb at (0.500, 0.500, 0.000), I at (0.000, 0.500, 0.500) and F at (0.500, 0.500, 0.500).


No. 5
This record from Alexandria via LeMat-Bulk describes crystalline CaTlCo at its relaxed geometry. The functional is GGA-PBE.

The value obtained for the formation energy is 0.169 eV per atom.

It has space group I4mm (No. 107), with a = 3.498 Å, b = 3.498 Å, c = 10.681 Å, α = 90.00°, β = 90.00° and γ = 90.00°. The distinct sites, in fractional coordinates, are Ca at (0.000, 0.000, 0.000), Tl at (0.000, 0.000, 0.291) and Co at (0.000, 0.000, 0.674).


No. 6
This record from Alexandria via LeMat-Bulk describes crystalline Sr2DyAg3Sn4 at its relaxed geometry. The functional is GGA-PBE.

The value obtained for the formation energy is -0.431 eV per atom.

It has space group P-4m2 (No. 115), with a = 4.634 Å, b = 4.634 Å, c = 12.896 Å, α = 90.00°, β = 90.00° and γ = 90.00°. The distinct sites, in fractional coordinates, are Sr at (0.000, 0.500, 0.239), Dy at (0.000, 0.000, 0.500), Ag at (0.000, 0.500, 0.863), Ag at (0.500, 0.500, 0.500), Sn at (0.000, 0.000, 0.000), Sn at (0.000, 0.500, 0.650) and Sn at (0.500, 0.500, 0.000).


No. 7
This record from Alexandria via LeMat-Bulk describes crystalline Tb9Pr2Y at its relaxed geometry. The functional is GGA-PBE.

The value obtained for the formation energy is 0.021 eV per atom.

It has space group P4/mmm (No. 123), with a = 5.076 Å, b = 5.076 Å, c = 15.221 Å, α = 90.00°, β = 90.00° and γ = 90.00°. The distinct sites, in fractional coordinates, are Tb at (0.000, 0.000, 0.000), Tb at (0.000, 0.000, 0.332), Tb at (0.000, 0.500, 0.165), Tb at (0.000, 0.500, 0.500), Pr at (0.500, 0.500, 0.333) and Y at (0.500, 0.500, 0.000).


No. 8
This record from Alexandria via LeMat-Bulk describes crystalline Ho3CoGe at its relaxed geometry. The functional is GGA-PBE.

The value obtained for the formation energy is -0.412 eV per atom.

It has space group C2/m (No. 12), with a = 15.415 Å, b = 3.737 Å, c = 8.190 Å, α = 90.00°, β = 92.92° and γ = 90.00°. The distinct sites, in fractional coordinates, are Ho at (0.051, 0.000, 0.190), Ho at (0.105, 0.500, 0.551), Ho at (0.249, 0.000, 0.802), Co at (0.211, 0.000, 0.442) and Ge at (0.111, 0.500, 0.923).


Density, record by record: 9.437; 12.764; 9.175; 6.114; 7.708; 6.814; 7.627; 8.830 g cm⁻³
DOS(E_F), record by record: 6.341; 2.707; 7.440; 4.096; 3.017; 5.764; 18.157; 4.042 states/eV/f.u.